No. 1
SbTeAu3: optimized geometry, GGA-PBE.

abc: 5.2292 5.2292 5.2292
angles: 90.00 90.00 90.00
Closest atoms and distances in Å follow each position.
Atoms (fractional coordinates):
Sb1 0.0000 0.0000 0.0000  6 Au 2.61
Te1 0.5000 0.5000 0.5000  12 Au 3.70
Au1 0.0000 0.5000 0.0000  2 Sb 2.61
Au2 0.0000 0.0000 0.5000  2 Sb 2.61
Au3 0.5000 0.0000 0.0000  2 Sb 2.61

Computed properties:
DOS(E_F) ... 1.2267 states/eV/atom
SG ... No. 221
E above lowest polymorph ... 561 meV/atom
Crystal system ... cubic
V ... 142.99 Å³/cell

=====

No. 2
Sb2Te2Au: optimized geometry, GGA-PBE.

abc: 4.1838 4.1838 8.8492
angles: 76.33 76.33 90.00
Closest atoms and distances in Å follow each position.
Atoms (fractional coordinates):
Sb1 0.7500 0.2500 0.5000  4 Sb 2.96
Sb2 0.2500 0.7500 0.5000  4 Sb 2.96
Te1 0.4128 0.4128 0.1744  1 Te 2.91
Te2 0.5872 0.5872 0.8256  1 Te 2.91
Au1 0.0000 0.0000 0.0000  8 Te 3.30

Computed properties:
DOS(E_F) ... 0.9637 states/eV/atom
SG ... No. 139
E above lowest polymorph ... 337 meV/atom
Crystal system ... tetragonal
V ... 145.99 Å³/cell

=====

No. 3
Sb2TeAu2: optimized geometry, GGA-PBE.

abc: 8.6390 8.6390 3.3388
angles: 90.00 90.00 90.00
Closest atoms and distances in Å follow each position.
Atoms (fractional coordinates):
Sb1 0.3052 0.8052 0.0000  6 Au 2.88-3.22, 2 Te 3.13
Sb2 0.8052 0.6948 0.0000  6 Au 2.88-3.22, 2 Te 3.13
Sb3 0.6948 0.1948 0.0000  6 Au 2.88-3.22, 2 Te 3.13
Sb4 0.1948 0.3052 0.0000  6 Au 2.88-3.22, 2 Te 3.13
Te1 0.0000 0.0000 0.0000  4 Sb 3.13, 2 Te 3.34
Te2 0.5000 0.5000 0.0000  4 Sb 3.13, 2 Te 3.34
Au1 0.1133 0.6133 0.5000  1 Au 2.77, 2 Sb 2.88
Au2 0.6133 0.8867 0.5000  1 Au 2.77, 2 Sb 2.88
Au3 0.8867 0.3867 0.5000  1 Au 2.77, 2 Sb 2.88
Au4 0.3867 0.1133 0.5000  1 Au 2.77, 2 Sb 2.88

Computed properties:
DOS(E_F) ... 0.4545 states/eV/atom
SG ... No. 127
E above lowest polymorph ... 138 meV/atom
Crystal system ... tetragonal
V ... 249.18 Å³/cell

=====

No. 4
SbTe2Au2: optimized geometry, GGA-PBE.

abc: 7.8879 7.8879 3.9010
angles: 90.00 90.00 90.00
Closest atoms and distances in Å follow each position.
Atoms (fractional coordinates):
Sb1 0.0000 0.0000 0.0000  4 Au 3.10
Sb2 0.5000 0.5000 0.0000  4 Au 3.10
Te1 0.1765 0.6765 0.5000  6 Au 2.92-3.12
Te2 0.6765 0.8235 0.5000  6 Au 2.92-3.12
Te3 0.8235 0.3235 0.5000  6 Au 2.92-3.12
Te4 0.3235 0.1765 0.5000  6 Au 2.92-3.12
Au1 0.3717 0.8717 0.0000  1 Au 2.86, 6 Te 2.92-3.12, 2 Sb 3.10
Au2 0.8717 0.6283 0.0000  1 Au 2.86, 6 Te 2.92-3.12, 2 Sb 3.10
Au3 0.6283 0.1283 0.0000  1 Au 2.86, 6 Te 2.92-3.12, 2 Sb 3.10
Au4 0.1283 0.3717 0.0000  1 Au 2.86, 6 Te 2.92-3.12, 2 Sb 3.10

Computed properties:
DOS(E_F) ... 0.5135 states/eV/atom
SG ... No. 127
E above lowest polymorph ... 193 meV/atom
Crystal system ... tetragonal
V ... 242.72 Å³/cell

=====

No. 5
Sb2Te2Au: optimized geometry, GGA-PBE.

abc: 4.4234 10.8866 10.4327
angles: 47.07 77.65 78.31
Closest atoms and distances in Å follow each position.
Atoms (fractional coordinates):
Sb1 0.0195 0.3181 0.6372  2 Au 2.69, 1 Te 2.83, 1 Sb 2.90
Sb2 0.6625 0.8581 0.8045  1 Au 2.76, 3 Te 2.98-3.08
Sb3 0.9805 0.6819 0.3628  2 Au 2.69, 1 Te 2.83, 1 Sb 2.90
Sb4 0.3375 0.1419 0.1955  1 Au 2.76, 3 Te 2.98-3.08
Te1 0.7294 0.2527 0.2949  1 Au 2.75, 2 Sb 2.98-2.99
Te2 0.8853 0.3252 0.9102  3 Sb 2.83-3.11
Te3 0.2706 0.7473 0.7051  1 Au 2.75, 2 Sb 2.98-2.99
Te4 0.1147 0.6748 0.0898  3 Sb 2.83-3.11
Au1 0.5971 0.2024 0.5971  3 Sb 2.69-2.76, 1 Te 2.75
Au2 0.4029 0.7976 0.4029  3 Sb 2.69-2.76, 1 Te 2.75

Computed properties:
DOS(E_F) ... 0.2044 states/eV/atom
SG ... No. 2
E above lowest polymorph ... 0 meV/atom
Crystal system ... triclinic
V ... 358.17 Å³/cell

=====

No. 6
Th4SbTe2Au: optimized geometry, GGA-PBE.

abc: 4.4561 7.7872 7.6752
angles: 109.38 90.00 90.00
Closest atoms and distances in Å follow each position.
Atoms (fractional coordinates):
Th1 0.5000 0.2565 0.2385  1 Au 3.04, 2 Sb 3.14, 3 Te 3.17-3.27
Th2 0.5000 0.7435 0.7615  1 Au 3.04, 2 Sb 3.14, 3 Te 3.17-3.27
Th3 0.0000 0.2712 0.7741  2 Au 3.02, 1 Sb 3.15, 3 Te 3.18-3.30
Th4 0.0000 0.7288 0.2259  2 Au 3.02, 1 Sb 3.15, 3 Te 3.18-3.30
Sb1 0.0000 0.0000 0.0000  6 Th 3.14-3.15
Te1 0.5000 0.0000 0.5000  6 Th 3.27-3.30
Te2 0.0000 0.5000 0.5000  6 Th 3.17-3.18
Au1 0.5000 0.5000 0.0000  6 Th 3.02-3.04

Computed properties:
DOS(E_F) ... 0.7608 states/eV/atom
SG ... No. 10
Crystal system ... monoclinic
V ... 251.24 Å³/cell

=====

No. 7
ThSbTeAu: optimized geometry, GGA-PBE.

abc: 4.8596 4.8596 8.8970
angles: 90.00 90.00 90.00
Closest atoms and distances in Å follow each position.
Atoms (fractional coordinates):
Th1 0.5000 0.0000 0.7455  4 Te 3.27, 4 Au 3.32, 4 Sb 3.50
Th2 0.0000 0.5000 0.2545  4 Te 3.27, 4 Au 3.32, 4 Sb 3.50
Sb1 0.0000 0.5000 0.8202  4 Au 2.91
Sb2 0.5000 0.0000 0.1798  4 Au 2.91
Te1 0.0000 0.0000 0.5000  4 Th 3.27, 4 Te 3.44
Te2 0.5000 0.5000 0.5000  4 Th 3.27, 4 Te 3.44
Au1 0.5000 0.5000 0.0000  4 Sb 2.91
Au2 0.0000 0.0000 0.0000  4 Sb 2.91

Computed properties:
DOS(E_F) ... 0.2340 states/eV/atom
SG ... No. 129
Crystal system ... tetragonal
V ... 210.11 Å³/cell

=====

No. 8
Th4Sb2TeAu: optimized geometry, GGA-PBE.

abc: 4.3982 7.7915 7.7259
angles: 71.10 90.00 90.00
Closest atoms and distances in Å follow each position.
Atoms (fractional coordinates):
Th1 0.0000 0.7465 0.7409  1 Au 3.08, 3 Sb 3.13-3.24, 2 Te 3.17
Th2 0.0000 0.2535 0.2591  1 Au 3.08, 3 Sb 3.13-3.24, 2 Te 3.17
Th3 0.5000 0.7356 0.2676  2 Au 3.05, 3 Sb 3.14-3.26, 1 Te 3.18
Th4 0.5000 0.2644 0.7324  2 Au 3.05, 3 Sb 3.14-3.26, 1 Te 3.18
Sb1 0.0000 0.0000 0.0000  6 Th 3.24-3.26
Sb2 0.5000 0.0000 0.5000  6 Th 3.13-3.14
Te1 0.5000 0.5000 0.0000  6 Th 3.17-3.18
Au1 0.0000 0.5000 0.5000  6 Th 3.05-3.08

Computed properties:
DOS(E_F) ... 0.7216 states/eV/atom
SG ... No. 10
Crystal system ... monoclinic
V ... 250.48 Å³/cell

=====

Number 1: formation energy (no corrections) 553 meV per atom. Number 2: formation energy (no corrections) 365 meV per atom. Number 3: formation energy (no corrections) 101 meV per atom. Number 4: formation energy (no corrections) 171 meV per atom. Number 5: formation energy (no corrections) 29 meV per atom. Number 6: formation energy (no corrections) -902 meV per atom. Number 7: formation energy (no corrections) -698 meV per atom. Number 8: formation energy (no corrections) -861 meV per atom.